[1]
Compound: Ge2BiRh
Source: Alexandria via LeMat-Bulk
Functional: PBE
Structure: relaxed

## Properties
Energy of formation = 10 kJ/mol of atoms
Magnetic moment = 0.0 μB per formula unit
Uncorrected energy = -5.015 eV/atom
SG = I-42d

Cell and atoms, written as CIF:
```
data_Ge2BiRh
_cell_length_a 5.960
_cell_length_b 5.960
_cell_length_c 7.381
_cell_angle_alpha 66.19
_cell_angle_beta 66.19
_cell_angle_gamma 90.00
_space_group_name_H-M_alt 'P 1'
_space_group_IT_number 1
loop_
_space_group_symop_operation_xyz
'x,y,z'
loop_
_atom_site_label
_atom_site_type_symbol
_atom_site_fract_x
_atom_site_fract_y
_atom_site_fract_z
Bi1 Bi 0.000 0.000 0.000
Ge1 Ge 0.195 0.625 0.250
Rh1 Rh 0.250 0.750 0.500
Ge2 Ge 0.875 0.805 0.750
Ge3 Ge 0.555 0.125 0.250
Rh2 Rh 0.500 0.500 0.000
Ge4 Ge 0.375 0.445 0.750
Bi2 Bi 0.750 0.250 0.500
```

[2]
Compound: ZrTaMnAl2
Source: Alexandria via LeMat-Bulk
Functional: PBE
Structure: relaxed

## Properties
Energy of formation = 53 kJ/mol of atoms
Magnetic moment = 0.8 μB per formula unit
Uncorrected energy = -6.866 eV/atom
SG = P4/mmm

Cell and atoms, written as CIF:
```
data_ZrTaMnAl2
_cell_length_a 4.484
_cell_length_b 4.649
_cell_length_c 4.484
_cell_angle_alpha 90.00
_cell_angle_beta 90.00
_cell_angle_gamma 90.00
_space_group_name_H-M_alt 'P 1'
_space_group_IT_number 1
loop_
_space_group_symop_operation_xyz
'x,y,z'
loop_
_atom_site_label
_atom_site_type_symbol
_atom_site_fract_x
_atom_site_fract_y
_atom_site_fract_z
Al1 Al 0.500 0.000 0.000
Zr1 Zr 0.000 0.500 0.000
Ta1 Ta 0.500 0.500 0.500
Mn1 Mn 0.000 0.000 0.000
Al2 Al 0.000 0.000 0.500
```

[3]
Compound: Be3SnCl
Source: Alexandria via LeMat-Bulk
Functional: PBE
Structure: relaxed

## Properties
Uncorrected formation energy = 0.88 eV/atom
Magnetic moment = 0.0 μB per formula unit
Energy above the most stable polymorph in this dataset = 0.000 eV/atom
Uncorrected energy = -2.525 eV/atom
SG = Pm-3m

Cell and atoms, written as CIF:
```
data_Be3SnCl
_cell_length_a 4.745
_cell_length_b 4.745
_cell_length_c 4.745
_cell_angle_alpha 90.00
_cell_angle_beta 90.00
_cell_angle_gamma 90.00
_space_group_name_H-M_alt 'P 1'
_space_group_IT_number 1
loop_
_space_group_symop_operation_xyz
'x,y,z'
loop_
_atom_site_label
_atom_site_type_symbol
_atom_site_fract_x
_atom_site_fract_y
_atom_site_fract_z
Cl1 Cl 0.500 0.500 0.500
Be1 Be 0.000 0.000 0.500
Sn1 Sn 0.000 0.000 0.000
Be2 Be 0.000 0.500 0.000
Be3 Be 0.500 0.000 0.000
```

[4]
Compound: CaDyCdAu
Source: Alexandria via LeMat-Bulk
Functional: PBE
Structure: relaxed

## Properties
Energy of formation = -53 kJ/mol of atoms
Magnetic moment = 0.0 μB per formula unit
Energy above the most stable polymorph in this dataset = 0.040 eV/atom
Uncorrected energy = -3.248 eV/atom
SG = F-43m

Cell and atoms, written as CIF:
```
data_CaDyCdAu
_cell_length_a 5.205
_cell_length_b 5.205
_cell_length_c 5.205
_cell_angle_alpha 60.00
_cell_angle_beta 60.00
_cell_angle_gamma 60.00
_space_group_name_H-M_alt 'P 1'
_space_group_IT_number 1
loop_
_space_group_symop_operation_xyz
'x,y,z'
loop_
_atom_site_label
_atom_site_type_symbol
_atom_site_fract_x
_atom_site_fract_y
_atom_site_fract_z
Dy1 Dy 0.500 0.500 0.500
Ca1 Ca 0.000 0.000 0.000
Au1 Au 0.250 0.250 0.250
Cd1 Cd 0.750 0.750 0.750
```

[5]
Compound: SmHoTm
Source: Alexandria via LeMat-Bulk
Functional: PBE
Structure: relaxed

## Properties
Energy of formation = 20 kJ/mol of atoms
Magnetic moment = 0.0 μB per formula unit
Energy above the most stable polymorph in this dataset = 0.199 eV/atom
Uncorrected energy = -4.382 eV/atom
SG = P4/nmm

Cell and atoms, written as CIF:
```
data_SmHoTm
_cell_length_a 4.808
_cell_length_b 4.808
_cell_length_c 8.588
_cell_angle_alpha 90.00
_cell_angle_beta 90.00
_cell_angle_gamma 90.00
_space_group_name_H-M_alt 'P 1'
_space_group_IT_number 1
loop_
_space_group_symop_operation_xyz
'x,y,z'
loop_
_atom_site_label
_atom_site_type_symbol
_atom_site_fract_x
_atom_site_fract_y
_atom_site_fract_z
Tm1 Tm 0.500 0.500 0.000
Sm1 Sm 0.500 0.000 0.697
Tm2 Tm 0.000 0.000 0.000
Sm2 Sm 0.000 0.500 0.303
Ho1 Ho 0.500 0.000 0.297
Ho2 Ho 0.000 0.500 0.703
```

[6]
Compound: LaPmOsPt
Source: Alexandria via LeMat-Bulk
Functional: PBE
Structure: relaxed

## Properties
Energy of formation = -43 kJ/mol of atoms
Magnetic moment = 0.0 μB per formula unit
Uncorrected energy = -7.181 eV/atom
SG = F-43m

Cell and atoms, written as CIF:
```
data_LaPmOsPt
_cell_length_a 5.058
_cell_length_b 5.058
_cell_length_c 5.058
_cell_angle_alpha 60.00
_cell_angle_beta 60.00
_cell_angle_gamma 60.00
_space_group_name_H-M_alt 'P 1'
_space_group_IT_number 1
loop_
_space_group_symop_operation_xyz
'x,y,z'
loop_
_atom_site_label
_atom_site_type_symbol
_atom_site_fract_x
_atom_site_fract_y
_atom_site_fract_z
Pt1 Pt 0.750 0.750 0.750
Pm1 Pm 0.000 0.000 0.000
Os1 Os 0.250 0.250 0.250
La1 La 0.500 0.500 0.500
```

[7]
Compound: Tb12Pr2Pu
Source: Alexandria via LeMat-Bulk
Functional: PBE
Structure: relaxed

## Properties
Energy of formation = 13 kJ/mol of atoms
Magnetic moment = 6.9 μB per formula unit
Uncorrected energy = -5.165 eV/atom
SG = P2/m

Cell and atoms, written as CIF:
```
data_Tb12Pr2Pu
_cell_length_a 6.662
_cell_length_b 6.662
_cell_length_c 25.050
_cell_angle_alpha 96.42
_cell_angle_beta 96.42
_cell_angle_gamma 115.50
_space_group_name_H-M_alt 'P 1'
_space_group_IT_number 1
loop_
_space_group_symop_operation_xyz
'x,y,z'
loop_
_atom_site_label
_atom_site_type_symbol
_atom_site_fract_x
_atom_site_fract_y
_atom_site_fract_z
Tb1 Tb 0.896 0.396 0.867
Tb2 Tb 0.441 0.442 0.928
Tb3 Tb 0.834 0.834 0.445
Pr1 Pr 0.456 0.956 0.272
Tb4 Tb 0.604 0.104 0.133
Pr2 Pr 0.956 0.456 0.272
Tb5 Tb 0.902 0.902 0.199
Tb6 Tb 0.179 0.679 0.572
Tb7 Tb 0.166 0.166 0.555
Tb8 Tb 0.500 0.500 0.330
Pr3 Pr 0.044 0.544 0.728
Pu1 Pu 0.500 0.000 0.000
Tb9 Tb 0.000 0.000 0.330
Pr4 Pr 0.544 0.044 0.728
Tb10 Tb 0.098 0.098 0.801
Tb11 Tb 0.598 0.598 0.801
Tb12 Tb 0.500 0.500 0.670
Tb13 Tb 0.321 0.821 0.428
Tb14 Tb 0.558 0.559 0.072
Tb15 Tb 0.334 0.334 0.445
Tb16 Tb 0.396 0.896 0.867
Tb17 Tb 0.059 0.058 0.072
Tb18 Tb 0.104 0.604 0.133
Tb19 Tb 0.679 0.179 0.572
Pu2 Pu 0.000 0.500 0.000
Tb20 Tb 0.821 0.321 0.428
Tb21 Tb 0.942 0.941 0.928
Tb22 Tb 0.402 0.402 0.199
Tb23 Tb 0.000 0.000 0.670
Tb24 Tb 0.666 0.666 0.555
```

[8]
Compound: CaSb2ICl
Source: Alexandria via LeMat-Bulk
Functional: PBE
Structure: relaxed

## Properties
Uncorrected formation energy = -0.03 eV/atom
Magnetic moment = 0.0 μB per formula unit
Energy above the most stable polymorph in this dataset = 0.000 eV/atom
Uncorrected energy = -2.755 eV/atom
SG = P4/mmm

Cell and atoms, written as CIF:
```
data_CaSb2ICl
_cell_length_a 5.146
_cell_length_b 5.146
_cell_length_c 6.762
_cell_angle_alpha 90.00
_cell_angle_beta 90.00
_cell_angle_gamma 90.00
_space_group_name_H-M_alt 'P 1'
_space_group_IT_number 1
loop_
_space_group_symop_operation_xyz
'x,y,z'
loop_
_atom_site_label
_atom_site_type_symbol
_atom_site_fract_x
_atom_site_fract_y
_atom_site_fract_z
I1 I 0.000 0.000 0.500
Sb1 Sb 0.500 0.000 0.000
Sb2 Sb 0.000 0.500 0.000
Cl1 Cl 0.000 0.000 0.000
Ca1 Ca 0.500 0.500 0.500
```

[9]
Compound: UCoTc
Source: Alexandria via LeMat-Bulk
Functional: PBE
Structure: relaxed

## Properties
Energy of formation = -2 kJ/mol of atoms
Magnetic moment = 0.0 μB per formula unit
Energy above the most stable polymorph in this dataset = 0.000 eV/atom
Uncorrected energy = -9.612 eV/atom
SG = P1

Cell and atoms, written as CIF:
```
data_UCoTc
_cell_length_a 6.155
_cell_length_b 6.212
_cell_length_c 5.664
_cell_angle_alpha 70.53
_cell_angle_beta 77.81
_cell_angle_gamma 87.20
_space_group_name_H-M_alt 'P 1'
_space_group_IT_number 1
loop_
_space_group_symop_operation_xyz
'x,y,z'
loop_
_atom_site_label
_atom_site_type_symbol
_atom_site_fract_x
_atom_site_fract_y
_atom_site_fract_z
U1 U 0.503 0.931 0.183
U2 U 0.998 0.608 0.220
Tc1 Tc 0.152 0.287 0.829
Co1 Co 0.501 0.115 0.643
Tc2 Tc 0.741 0.280 0.187
Tc3 Tc 0.219 0.814 0.682
Tc4 Tc 0.229 0.252 0.300
Co2 Co 0.984 0.933 0.283
Co3 Co 0.877 0.598 0.723
U3 U 0.842 0.086 0.733
U4 U 0.514 0.549 0.835
Co4 Co 0.446 0.549 0.382
```

[10]
Compound: LaSbW
Source: Alexandria via LeMat-Bulk
Functional: PBE
Structure: relaxed

## Properties
Uncorrected formation energy = 0.21 eV/atom
Magnetic moment = 0.0 μB per formula unit
Energy above the most stable polymorph in this dataset = 0.073 eV/atom
Uncorrected energy = -7.127 eV/atom
SG = P-6m2

Cell and atoms, written as CIF:
```
data_LaSbW
_cell_length_a 4.680
_cell_length_b 4.680
_cell_length_c 4.125
_cell_angle_alpha 90.00
_cell_angle_beta 90.00
_cell_angle_gamma 120.00
_space_group_name_H-M_alt 'P 1'
_space_group_IT_number 1
loop_
_space_group_symop_operation_xyz
'x,y,z'
loop_
_atom_site_label
_atom_site_type_symbol
_atom_site_fract_x
_atom_site_fract_y
_atom_site_fract_z
Sb1 Sb 0.333 0.667 0.500
W1 W 0.667 0.333 0.500
La1 La 0.000 0.000 0.000
```

[11]
Compound: LiCrPt2
Source: Alexandria via LeMat-Bulk
Functional: PBE
Structure: relaxed

## Properties
Energy of formation = -21 kJ/mol of atoms
Magnetic moment = 3.3 μB per formula unit
Uncorrected energy = -6.127 eV/atom
SG = Imm2

Cell and atoms, written as CIF:
```
data_LiCrPt2
_cell_length_a 5.284
_cell_length_b 5.284
_cell_length_c 5.284
_cell_angle_alpha 148.17
_cell_angle_beta 130.95
_cell_angle_gamma 59.67
_space_group_name_H-M_alt 'P 1'
_space_group_IT_number 1
loop_
_space_group_symop_operation_xyz
'x,y,z'
loop_
_atom_site_label
_atom_site_type_symbol
_atom_site_fract_x
_atom_site_fract_y
_atom_site_fract_z
Li1 Li 0.756 0.256 0.500
Cr1 Cr 0.490 0.490 0.000
Pt1 Pt 0.258 0.758 0.500
Pt2 Pt 0.997 0.997 0.000
```

[12]
Compound: LiPm4Al2Zn
Source: Alexandria via LeMat-Bulk
Functional: PBE
Structure: relaxed

## Properties
Energy of formation = -27 kJ/mol of atoms
Magnetic moment = 0.0 μB per formula unit
Uncorrected energy = -3.993 eV/atom
SG = R-3m

Cell and atoms, written as CIF:
```
data_LiPm4Al2Zn
_cell_length_a 5.252
_cell_length_b 5.252
_cell_length_c 9.090
_cell_angle_alpha 73.21
_cell_angle_beta 73.21
_cell_angle_gamma 60.00
_space_group_name_H-M_alt 'P 1'
_space_group_IT_number 1
loop_
_space_group_symop_operation_xyz
'x,y,z'
loop_
_atom_site_label
_atom_site_type_symbol
_atom_site_fract_x
_atom_site_fract_y
_atom_site_fract_z
Pm1 Pm 0.378 0.378 0.865
Li1 Li 0.000 0.000 0.000
Pm2 Pm 0.622 0.622 0.135
Pm3 Pm 0.872 0.872 0.384
Zn1 Zn 0.500 0.500 0.500
Al1 Al 0.253 0.253 0.241
Pm4 Pm 0.128 0.128 0.616
Al2 Al 0.747 0.747 0.759
```